Record 1
NpZn11Ag | PBE-GGA | relaxed

As for the energy relative to the elements: -20 meV/atom. The calculation puts the total energy at -0.1700 Ry/atom. The calculation puts the total magnetic moment at 0.3326 μB per atom.

The space group is C2/m (No. 12) and the conventional cell measures 5.2670, 12.6500 and 6.8770 Å, with angles of 90.00, 112.36 and 90.00 degrees. The distinct sites, in fractional coordinates, are Np at (0.0000, 0.0000, 0.0000), Zn at (0.0000, 0.5000, 0.5000), Zn at (0.1002, 0.3913, 0.2127), Zn at (0.1792, 0.1784, 0.3513), Zn at (0.2500, 0.2500, 0.0000) and Ag at (0.0000, 0.0000, 0.5000).

=====

Record 2
YZr3Os | PBE-GGA | relaxed

As for the energy relative to the elements: 185 meV/atom. The calculation puts the total energy at -0.6234 Ry/atom. The value obtained for the energy relative to the lowest polymorph listed for this composition is 0 meV/atom. The calculation puts the total magnetic moment at 0.0000 μB per atom.

The space group is Pm-3m (No. 221) and the conventional cell measures 5.1177, 5.1177 and 5.1177 Å, with angles of 90.00, 90.00 and 90.00 degrees. The distinct sites, in fractional coordinates, are Y at (0.0000, 0.0000, 0.0000), Zr at (0.0000, 0.5000, 0.5000) and Os at (0.5000, 0.5000, 0.5000).

=====

Record 3
YSc2Fe | PBE-GGA | relaxed

As for the energy relative to the elements: 223 meV/atom. The calculation puts the total energy at -0.4906 Ry/atom. The value obtained for the energy relative to the lowest polymorph listed for this composition is 271 meV/atom. The calculation puts the total magnetic moment at 0.4578 μB per atom.

The space group is R3m (No. 160, hexagonal axes) and the conventional cell measures 3.3511, 3.3511 and 28.2664 Å, with angles of 90.00, 90.00 and 120.00 degrees. The distinct sites, in fractional coordinates, are Y at (0.0000, 0.0000, 0.0000), Sc at (0.0000, 0.0000, 0.2314), Sc at (0.0000, 0.0000, 0.4674) and Fe at (0.0000, 0.0000, 0.7380).

=====

Record 4
VCo6Ni8 | PBE-GGA | relaxed

As for the energy relative to the elements: 191 meV/atom. The calculation puts the total energy at -0.4662 Ry/atom. The calculation puts the total magnetic moment at 0.8155 μB per atom.

The space group is R-3 (No. 148, hexagonal axes) and the conventional cell measures 6.5227, 6.5227 and 14.4260 Å, with angles of 90.00, 90.00 and 120.00 degrees. The distinct sites, in fractional coordinates, are V at (0.0000, 0.0000, 0.0000), Co at (0.0042, 0.2832, 0.6288), Ni at (0.0000, 0.0000, 0.2515) and Ni at (0.0093, 0.3009, 0.1300).

=====

Record 5
K2CoTc | PBE-GGA | relaxed

As for the energy relative to the elements: 1479 meV/atom. The calculation puts the total energy at -0.2527 Ry/atom. The value obtained for the energy relative to the lowest polymorph listed for this composition is 709 meV/atom. The calculation puts the total magnetic moment at 0.8762 μB per atom.

The space group is P4/mmm (No. 123) and the conventional cell measures 3.9400, 3.9400 and 5.5976 Å, with angles of 90.00, 90.00 and 90.00 degrees. The distinct sites, in fractional coordinates, are K at (0.0000, 0.5000, 0.0000), Co at (0.0000, 0.0000, 0.5000) and Tc at (0.5000, 0.5000, 0.5000).

=====

Record 6
Pr3Cd3Pd8 | PBE-GGA | relaxed

As for the energy relative to the elements: -550 meV/atom. The calculation puts the total energy at -0.3482 Ry/atom. The calculation puts the total magnetic moment at 0.0000 μB per atom.

The space group is Immm (No. 71) and the conventional cell measures 4.5598, 9.3351 and 13.7758 Å, with angles of 90.00, 90.00 and 90.00 degrees. The distinct sites, in fractional coordinates, are Pr at (0.0000, 0.0000, 0.0000), Pr at (0.0000, 0.0000, 0.2937), Cd at (0.0000, 0.2256, 0.5000), Cd at (0.0000, 0.5000, 0.0000), Pd at (0.0000, 0.2748, 0.1200) and Pd at (0.0000, 0.3526, 0.3151).

=====

Record 7
CrFe4Pd | PBE-GGA | relaxed

As for the energy relative to the elements: 46 meV/atom. The calculation puts the total energy at -0.5927 Ry/atom. The calculation puts the total magnetic moment at 1.0399 μB per atom.

The space group is F-43m (No. 216) and the conventional cell measures 6.7007, 6.7007 and 6.7007 Å, with angles of 90.00, 90.00 and 90.00 degrees. The distinct sites, in fractional coordinates, are Cr at (0.0000, 0.0000, 0.0000), Fe at (0.1249, 0.1249, 0.3751) and Pd at (0.2500, 0.2500, 0.7500).

=====

Record 8
PrLuTe | PBE-GGA | relaxed

The calculation puts the total energy at -0.3399 Ry/atom. The value obtained for the energy relative to the lowest polymorph listed for this composition is 284 meV/atom. For the uncorrected formation energy, the calculation gives -46 kJ per mole of atoms. The calculation puts the total magnetic moment at 0.0283 μB per atom.

The space group is P3m1 (No. 156) and the conventional cell measures 5.2007, 5.2007 and 3.9800 Å, with angles of 90.00, 90.00 and 120.00 degrees. The distinct sites, in fractional coordinates, are Pr at (0.0000, 0.0000, 0.0000), Lu at (0.3333, 0.6667, 0.5003) and Te at (0.6667, 0.3333, 0.5845).

=====

Record 9
Ba4LiAu4 | PBE-GGA | relaxed

As for the energy relative to the elements: -580 meV/atom. The calculation puts the total energy at -0.2281 Ry/atom. The calculation puts the total magnetic moment at 0.0000 μB per atom.

The space group is P4_2/n (No. 86, origin choice 2) and the conventional cell measures 9.4677, 9.4677 and 6.6505 Å, with angles of 90.00, 90.00 and 90.00 degrees. The distinct sites, in fractional coordinates, are Ba at (0.0280, 0.6895, 0.0969), Li at (0.2500, 0.2500, 0.2500) and Au at (0.0154, 0.3487, 0.4114).

=====

Record 10
Cr2CoMo | PBE-GGA | relaxed

As for the energy relative to the elements: 256 meV/atom. The calculation puts the total energy at -0.6644 Ry/atom. The calculation puts the total magnetic moment at 0.0000 μB per atom.

The space group is Cm (No. 8) and the conventional cell measures 8.6529, 2.5660 and 4.5851 Å, with angles of 90.00, 98.95 and 90.00 degrees. The distinct sites, in fractional coordinates, are Cr at (0.0000, 0.0000, 0.0000), Cr at (0.2424, 0.0000, 0.7738), Co at (0.0112, 0.5000, 0.5290) and Mo at (0.2650, 0.5000, 0.2871).

=====

Record 11
TlCo2CuCl6 | PBE-GGA | relaxed

The calculation puts the total energy at -0.2784 Ry/atom. For the uncorrected formation energy, the calculation gives -59 kJ per mole of atoms. The calculation puts the total magnetic moment at 0.6000 μB per atom.

The space group is C2/c (No. 15) and the conventional cell measures 13.0974, 13.4060 and 7.1503 Å, with angles of 90.00, 111.16 and 90.00 degrees. The distinct sites, in fractional coordinates, are Tl at (0.0000, 0.1197, 0.2500), Co at (0.1913, 0.4271, 0.1720), Cu at (0.0000, 0.2227, 0.7500), Cl at (0.1105, 0.2790, 0.0501), Cl at (0.1244, 0.0896, 0.7147) and Cl at (0.1405, 0.4489, 0.4444).

=====

Record 12
Li2TbPr2Tl2 | PBE-GGA | relaxed

As for the energy relative to the elements: -199 meV/atom. The calculation puts the total energy at -0.2535 Ry/atom. The calculation puts the total magnetic moment at 0.0000 μB per atom.

The space group is R-3m (No. 166, hexagonal axes) and the conventional cell measures 4.8868, 4.8868 and 27.5097 Å, with angles of 90.00, 90.00 and 120.00 degrees. The distinct sites, in fractional coordinates, are Li at (0.0000, 0.0000, 0.1099), Tb at (0.0000, 0.0000, 0.5000), Pr at (0.0000, 0.0000, 0.3735) and Tl at (0.0000, 0.0000, 0.2330).

=====

Record 13
TlNiAgOs2 | PBE-GGA | relaxed

As for the energy relative to the elements: 2698 meV/atom. The calculation puts the total energy at -0.2935 Ry/atom. The calculation puts the total magnetic moment at 0.9649 μB per atom.

The space group is P4/mmm (No. 123) and the conventional cell measures 4.9223, 4.9223 and 5.0275 Å, with angles of 90.00, 90.00 and 90.00 degrees. The distinct sites, in fractional coordinates, are Tl at (0.0000, 0.0000, 0.0000), Ni at (0.5000, 0.5000, 0.0000), Ag at (0.0000, 0.0000, 0.5000) and Os at (0.0000, 0.5000, 0.5000).

=====

Record 14
K6VAs4 | PBE-GGA | relaxed

As for the energy relative to the elements: -434 meV/atom. The calculation puts the total energy at -0.2611 Ry/atom. The calculation puts the total magnetic moment at 0.1033 μB per atom.

The space group is P6_3mc (No. 186) and the conventional cell measures 10.3114, 10.3114 and 8.2145 Å, with angles of 90.00, 90.00 and 120.00 degrees. The distinct sites, in fractional coordinates, are K at (0.0622, 0.5311, 0.0000), K at (0.1439, 0.2879, 0.3177), V at (0.3333, 0.6667, 0.6105), As at (0.2054, 0.4107, 0.7004) and As at (0.3333, 0.6667, 0.3216).

=====

Record 15
VPt6Rh5 | PBE-GGA | relaxed

As for the energy relative to the elements: -187 meV/atom. The calculation puts the total energy at -0.5167 Ry/atom. The calculation puts the total magnetic moment at 0.0000 μB per atom.

The space group is Immm (No. 71) and the conventional cell measures 3.8775, 7.8264 and 11.6946 Å, with angles of 90.00, 90.00 and 90.00 degrees. The distinct sites, in fractional coordinates, are V at (0.0000, 0.0000, 0.0000), Pt at (0.0000, 0.2464, 0.1662), Pt at (0.0000, 0.2586, 0.5000), Rh at (0.0000, 0.0000, 0.3379), Rh at (0.0000, 0.5000, 0.0000) and Rh at (0.0000, 0.5000, 0.3386).

=====

Record 16
Sr3In2Cl8 | PBE-GGA | relaxed

The calculation puts the total energy at -0.2860 Ry/atom. For the uncorrected formation energy, the calculation gives -188 kJ per mole of atoms. The calculation puts the total magnetic moment at 0.0000 μB per atom.

The space group is C2/m (No. 12) and the conventional cell measures 15.4460, 8.8154 and 7.5142 Å, with angles of 90.00, 109.56 and 90.00 degrees. The distinct sites, in fractional coordinates, are Sr at (0.0000, 0.0000, 0.0000), Sr at (0.0000, 0.2579, 0.5000), In at (0.2192, 0.5000, 0.1478), Cl at (0.1012, 0.0000, 0.4072), Cl at (0.1086, 0.5000, 0.4282) and Cl at (0.1121, 0.2251, 0.8962).

=====

Record 17
In2Pd2Ru | PBE-GGA | relaxed

As for the energy relative to the elements: -12 meV/atom. The calculation puts the total energy at -0.3704 Ry/atom. The calculation puts the total magnetic moment at 0.2898 μB per atom.

The space group is P4/mbm (No. 127) and the conventional cell measures 7.6364, 7.6364 and 3.0593 Å, with angles of 90.00, 90.00 and 90.00 degrees. The distinct sites, in fractional coordinates, are In at (0.1708, 0.3292, 0.0000), Pd at (0.1292, 0.6292, 0.5000) and Ru at (0.0000, 0.0000, 0.5000).

=====

Record 18
MgZnP2 | PBE-GGA | relaxed

As for the energy relative to the elements: 296 meV/atom. The calculation puts the total energy at -0.2297 Ry/atom. The value obtained for the energy relative to the lowest polymorph listed for this composition is 454 meV/atom. The calculation puts the total magnetic moment at 0.0000 μB per atom.

The space group is F-43m (No. 216) and the conventional cell measures 6.3824, 6.3824 and 6.3824 Å, with angles of 90.00, 90.00 and 90.00 degrees. The distinct sites, in fractional coordinates, are Mg at (0.0000, 0.0000, 0.0000), Zn at (0.2500, 0.2500, 0.7500), P at (0.0000, 0.0000, 0.5000) and P at (0.2500, 0.2500, 0.2500).

=====

Record 19
VCdAu | PBE-GGA | relaxed

As for the energy relative to the elements: 141 meV/atom. The calculation puts the total energy at -0.3158 Ry/atom. The value obtained for the energy relative to the lowest polymorph listed for this composition is 163 meV/atom. The calculation puts the total magnetic moment at 0.0000 μB per atom.

The space group is C2/m (No. 12) and the conventional cell measures 8.7422, 4.2889 and 6.1784 Å, with angles of 90.00, 110.13 and 90.00 degrees. The distinct sites, in fractional coordinates, are V at (0.1181, 0.0000, 0.0694), Cd at (0.1779, 0.0000, 0.6029) and Au at (0.0275, 0.5000, 0.7699).

=====

Record 20
BaAg6Hg2 | PBE-GGA | relaxed

As for the energy relative to the elements: -28 meV/atom. The calculation puts the total energy at -0.1624 Ry/atom. The calculation puts the total magnetic moment at 0.0000 μB per atom.

The space group is C2/m (No. 12) and the conventional cell measures 10.0251, 7.4677 and 5.9087 Å, with angles of 90.00, 97.01 and 90.00 degrees. The distinct sites, in fractional coordinates, are Ba at (0.0000, 0.0000, 0.0000), Ag at (0.0000, 0.2857, 0.5000), Ag at (0.2385, 0.3111, 0.2773) and Hg at (0.1236, 0.5000, 0.8764).